Record 1
GGA-PBE Re2SbRh, optimized geometry; electronic total energy = -8.76 eV/atom; symmetry = No. 12; size of the total moment = 0.0 μB/cell
1.0
4.7357 -1.5035 0.0000
4.7357 1.5035 0.0000
-0.5614 0.0000 4.6215
Re Sb Rh
2 1 1
Cartesian
2.0843 0.0000 1.0224
6.8257 0.0000 3.5990
-0.2807 0.0000 2.3107
4.7357 0.0000 0.0000


Record 2
GGA-PBE ReSbRh2, optimized geometry; electronic total energy = -7.66 eV/atom; symmetry = No. 123; size of the total moment = 1.0 μB/cell
1.0
3.9823 0.0000 0.0000
0.0000 3.9823 0.0000
0.0000 0.0000 4.0027
Re Sb Rh
1 1 2
Cartesian
0.0000 0.0000 0.0000
1.9912 1.9912 0.0000
0.0000 1.9912 2.0014
1.9912 0.0000 2.0014


Record 3
GGA-PBE ReSbRh, optimized geometry; electronic total energy = -7.62 eV/atom; symmetry = No. 216; size of the total moment = 0.0 μB/cell
1.0
0.0000 3.0846 3.0846
3.0846 0.0000 3.0846
3.0846 3.0846 0.0000
Re Sb Rh
1 1 1
Cartesian
0.0000 0.0000 0.0000
4.6268 4.6268 4.6268
1.5423 1.5423 1.5423


| no. | calculated volume (Å³/cell) |
| --- | --- |
| 1 | 65.8 |
| 2 | 63.5 |
| 3 | 58.7 |